The following is a DFT calculation (GGA-PBE) of a geometry-optimized Pm3Dy6YTm2 structure.

Lattice parameters (Å, degrees): 6.1765 10.6911 11.8005 90.00 100.01 90.00
Space group C2/m (No. 12)
Inequivalent atoms, fractional coordinates:
Pm  0.0000  0.0000  0.0000 (multiplicity 2)
Pm  0.0000  0.3332  0.0000 (multiplicity 4)
Dy  0.2481  0.0000  0.7464 (multiplicity 4)
Dy  0.2503  0.1672  0.2536 (multiplicity 8)
Y  0.0000  0.5000  0.5000 (multiplicity 2)
Tm  0.0000  0.1667  0.5000 (multiplicity 4)

Values from the calculation:
- Final energy: -114.079 eV for the cell shown
- Mass density: 7.9 Mg/m³
- Formation enthalpy at 0 K: 19 meV per atom